UBr4Cl, relaxed, DFT GGA-PBE; VASP energy = -4.60 eV per atom
1.0
7.027 0.000 0.000
-3.312 6.881 0.000
-0.160 -3.730 9.908
U Br Cl
2 8 2
Cartesian
-0.030 0.656 2.085 U
3.585 2.495 7.823 U
-2.278 3.478 5.677 Br
0.959 -2.286 9.471 Br
2.089 -0.876 2.480 Br
1.132 2.688 3.296 Br
2.423 0.463 6.612 Br
1.466 4.027 7.428 Br
2.596 5.437 0.437 Br
5.833 -0.327 4.231 Br
-1.451 1.128 8.373 Cl
5.005 2.023 1.535 Cl

---

PrPdNO, relaxed, DFT GGA-PBE; energy above the most stable polymorph in this dataset = 0 meV per atom
1.0
5.695 0.000 0.000
0.000 7.990 0.000
0.000 0.000 5.619
Pr Pd N O
4 4 4 4
Cartesian
0.167 1.198 0.000 Pr
2.680 1.198 2.809 Pr
3.015 6.792 0.000 Pr
5.528 6.792 2.809 Pr
0.366 3.747 3.571 Pd
2.481 3.747 0.762 Pd
3.214 4.244 3.571 Pd
5.329 4.244 0.762 Pd
0.831 2.900 1.808 N
2.017 2.900 4.618 N
3.678 5.090 1.808 N
4.864 5.090 4.618 N
1.418 7.804 1.385 O
1.430 7.804 4.194 O
4.265 0.187 1.385 O
4.277 0.187 4.194 O

---

Pr4CuBr5, relaxed, DFT GGA-PBE; VASP energy = -4.43 eV per atom
1.0
9.335 -2.044 0.000
9.335 2.044 0.000
-1.866 0.000 8.607
Pr Cu Br
4 1 5
Cartesian
-0.389 0.000 1.941 Pr
4.667 0.000 7.959 Pr
12.137 0.000 0.648 Pr
17.193 0.000 6.666 Pr
9.335 0.000 0.000 Cu
2.510 0.000 2.856 Br
1.644 0.000 7.066 Br
8.402 0.000 4.304 Br
15.160 0.000 1.541 Br
14.293 0.000 5.751 Br

---

DyZrTlC, relaxed, DFT GGA-PBE; energy above the most stable polymorph in this dataset = 3 meV per atom
1.0
3.477 0.000 0.000
-1.738 3.011 0.000
0.000 0.000 15.739
Dy Zr Tl C
2 2 2 2
Cartesian
0.000 2.007 0.000 Dy
1.738 1.004 7.869 Dy
0.000 2.007 10.485 Zr
1.738 1.004 2.615 Zr
0.000 2.007 5.183 Tl
1.738 1.004 13.052 Tl
0.000 0.000 1.484 C
0.000 0.000 9.353 C

---

NdSnTe2, relaxed, DFT GGA-PBE; VASP energy = -4.33 eV per atom
1.0
4.868 -3.613 0.000
4.868 3.613 0.000
0.000 0.000 7.029
Nd Sn Te
2 2 4
Cartesian
0.000 0.000 0.000 Nd
0.000 0.000 3.514 Nd
4.868 0.704 5.272 Sn
4.868 -0.704 1.757 Sn
2.984 1.419 1.757 Te
6.752 1.419 1.757 Te
2.984 -1.419 5.272 Te
6.752 -1.419 5.272 Te

---

ZrBiF6, relaxed, DFT GGA-PBE; VASP energy = -5.76 eV per atom
1.0
4.983 0.000 0.000
-2.223 4.694 0.000
-2.016 -1.723 4.765
Zr Bi F
1 1 6
Cartesian
0.000 0.000 0.000 Zr
-2.120 1.486 2.383 Bi
-1.244 3.318 1.124 F
-0.433 -1.186 3.541 F
0.916 1.438 1.168 F
-0.173 1.533 3.598 F
1.176 4.157 1.224 F
1.987 -0.347 3.642 F

---

Pm2SiO, relaxed, DFT GGA-PBE; VASP energy = -6.44 eV per atom
1.0
3.916 0.000 0.000
0.000 3.916 0.000
0.000 0.000 5.599
Pm Si O
2 1 1
Cartesian
0.000 0.000 0.000 Pm
1.958 1.958 2.800 Pm
0.000 0.000 2.800 Si
1.958 1.958 0.000 O

---

TcN, relaxed, DFT GGA-PBE; energy above the most stable polymorph in this dataset = 545 meV per atom
1.0
5.394 0.000 0.000
0.000 3.869 0.000
0.000 0.000 4.100
Tc N
4 4
Cartesian
0.000 0.000 0.000 Tc
1.348 1.934 1.615 Tc
2.697 0.000 0.000 Tc
4.045 1.934 2.485 Tc
1.348 0.000 1.614 N
1.348 1.934 3.683 N
4.045 0.000 2.486 N
4.045 1.934 0.418 N